## LiCaTaSi (PBE)

Data for LiCaTaSi after structural relaxation.

For the density of states at the Fermi level, the calculation gives 0.88 states/eV/atom. The calculation puts the uncorrected formation energy at 0.07 eV per atom.

a = 3.033 Å, b = 3.784 Å, c = 6.642 Å
α = 90.00°, β = 90.00°, γ = 90.00°
Element x y z (fractional)
Li1 0.000 0.000 0.000
Ca1 0.500 0.500 0.297
Ta1 0.500 0.500 0.781
Si1 0.000 0.000 0.597